1.
# SCAN AcPr3, PBEsol geometry
data_AcPr3
_symmetry_space_group_name_H-M 'I 4/m m m'
_symmetry_Int_Tables_number 139
_symmetry_space_group_name_Hall '-I 4 2'
_cell_length_a 5.235
_cell_length_b 5.235
_cell_length_c 10.432
_cell_angle_alpha 90.00
_cell_angle_beta 90.00
_cell_angle_gamma 90.00
loop_
_atom_site_label
_atom_site_type_symbol
_atom_site_fract_x
_atom_site_fract_y
_atom_site_fract_z
_atom_site_occupancy
Ac1 Ac 0.000 0.000 0.000 1
Pr1 Pr 0.000 0.000 0.500 1
Pr2 Pr 0.000 0.500 0.250 1
# energy of formation from the pure elements	0.063	eV per formula unit
# calculated volume	286	Å³/cell
# final energy	-440.78	eV/cell
# magnetic moment	0.0	μB/f.u.

***

2.
# SCAN AcSi3, PBEsol geometry
data_AcSi3
_symmetry_space_group_name_H-M 'P 63/m m c'
_symmetry_Int_Tables_number 194
_symmetry_space_group_name_Hall '-P 6c 2c'
_cell_length_a 6.4577
_cell_length_b 6.4577
_cell_length_c 4.5638
_cell_angle_alpha 90.00
_cell_angle_beta 90.00
_cell_angle_gamma 120.00
loop_
_atom_site_label
_atom_site_type_symbol
_atom_site_fract_x
_atom_site_fract_y
_atom_site_fract_z
_atom_site_occupancy
Ac1 Ac 0.3333 0.6667 0.2500 1
Si1 Si 0.1293 0.2586 0.7500 1
# calculated volume	165	Å³/cell
# final energy	-243.36	eV/cell
# magnetic moment	0.0	μB/f.u.

***

3.
# SCAN Ac2TlSn, PBEsol geometry
data_Ac2TlSn
_symmetry_space_group_name_H-M 'F m -3 m'
_symmetry_Int_Tables_number 225
_symmetry_space_group_name_Hall '-F 4 2 3'
_cell_length_a 8.084
_cell_length_b 8.084
_cell_length_c 8.084
_cell_angle_alpha 90.00
_cell_angle_beta 90.00
_cell_angle_gamma 90.00
loop_
_atom_site_label
_atom_site_type_symbol
_atom_site_fract_x
_atom_site_fract_y
_atom_site_fract_z
_atom_site_occupancy
Ac1 Ac 0.250 0.250 0.250 1
Tl1 Tl 0.000 0.000 0.000 1
Sn1 Sn 0.000 0.000 0.500 1
# energy of formation from the pure elements	-2.545	eV per formula unit
# calculated volume	528	Å³/cell
# final energy	-1167.10	eV/cell
# magnetic moment	0.0	μB/f.u.